This record from Alexandria describes a relaxed CaNd12Tm2 crystal. The functional is GGA-PBE.

Computed properties:
- density of states at the Fermi level (states/eV/f.u.) = 20.92
- calculated total energy (eV/cell) = -131.8

```
CaNd12Tm2
1.0
3.594 -5.832 0.000
3.594 5.832 0.000
0.000 0.000 25.459
Ca Nd Tm
2 24 4
Cartesian
3.594 2.916 0.010
3.594 -2.916 25.449
1.805 2.916 3.549
3.594 5.821 23.368
1.933 2.916 14.887
3.594 5.551 11.223
1.797 0.000 5.183
1.797 0.000 8.334
1.797 0.000 17.125
1.797 0.000 20.276
3.594 0.280 11.223
5.255 2.916 14.887
3.594 0.011 23.368
5.383 2.916 3.549
1.805 -2.916 21.910
3.594 -0.011 2.091
1.933 -2.916 10.571
3.594 -0.280 14.235
5.391 0.000 5.183
5.391 0.000 8.334
5.391 0.000 17.125
5.391 0.000 20.276
3.594 -5.551 14.235
5.255 -2.916 10.571
3.594 -5.821 2.091
5.383 -2.916 21.910
3.594 2.916 6.972
3.594 2.916 18.562
3.594 -2.916 6.897
3.594 -2.916 18.486
```